# 1
La6Os2SeBr3: optimized geometry, GGA-PBE.

Calculated values
As for the uncorrected formation energy: -1.149 eV/atom. As for the total magnetization: 0.000 μB per cell. The value obtained for the total energy is -0.4552 Ry per atom.

The structure in CIF format:
```
data_La6Os2SeBr3
_chemical_formula_sum 'La12 Os4 Se2 Br6'
_cell_length_a 7.413
_cell_length_b 12.826
_cell_length_c 8.141
_cell_angle_alpha 90.00
_cell_angle_beta 107.60
_cell_angle_gamma 90.00
_space_group_name_H-M_alt 'C 1 2/m 1'
_space_group_IT_number 12
_space_group_name_Hall '-C 2y'
loop_
_atom_site_label
_atom_site_fract_x
_atom_site_fract_y
_atom_site_fract_z
_atom_site_occupancy
La1 0.210 0.000 0.201 1
La2 0.245 0.322 0.202 1
Os1 0.000 0.167 0.000 1
Se1 0.000 0.500 0.000 1
Br1 0.000 0.000 0.500 1
Br2 0.000 0.337 0.500 1
```

***

# 2
LaOsSe2Br: optimized geometry, GGA-PBE.

Calculated values
The calculation puts the distance to the lowest polymorph of the same formula at 1.018 eV/atom. As for the uncorrected formation energy: 0.657 eV/atom. As for the total magnetization: 5.469 μB per cell. The value obtained for the total energy is -0.3163 Ry per atom.

The structure in CIF format:
```
data_LaOsSe2Br
_chemical_formula_sum 'La1 Os1 Se2 Br1'
_cell_length_a 5.785
_cell_length_b 5.785
_cell_length_c 5.734
_cell_angle_alpha 90.00
_cell_angle_beta 90.00
_cell_angle_gamma 90.00
_space_group_name_H-M_alt 'P 4/m m m'
_space_group_IT_number 123
_space_group_name_Hall '-P 4 2'
loop_
_atom_site_label
_atom_site_fract_x
_atom_site_fract_y
_atom_site_fract_z
_atom_site_occupancy
La1 0.000 0.000 0.000 1
Os1 0.500 0.500 0.500 1
Se1 0.000 0.500 0.000 1
Br1 0.000 0.000 0.500 1
```

***

# 3
LaOsSe2Br: optimized geometry, GGA-PBE.

Calculated values
The calculation puts the distance to the lowest polymorph of the same formula at 0.000 eV/atom. As for the uncorrected formation energy: -0.361 eV/atom. As for the total magnetization: 0.611 μB per cell. The value obtained for the total energy is -0.3911 Ry per atom.

The structure in CIF format:
```
data_LaOsSe2Br
_chemical_formula_sum 'La1 Os1 Se2 Br1'
_cell_length_a 4.961
_cell_length_b 4.961
_cell_length_c 4.989
_cell_angle_alpha 90.00
_cell_angle_beta 90.00
_cell_angle_gamma 90.00
_space_group_name_H-M_alt 'P 4/m m m'
_space_group_IT_number 123
_space_group_name_Hall '-P 4 2'
loop_
_atom_site_label
_atom_site_fract_x
_atom_site_fract_y
_atom_site_fract_z
_atom_site_occupancy
La1 0.000 0.000 0.000 1
Os1 0.500 0.500 0.500 1
Se1 0.000 0.500 0.500 1
Br1 0.500 0.500 0.000 1
```

***

# 4
La6Si2OsBr3: optimized geometry, GGA-PBE.

Calculated values
As for the uncorrected formation energy: -1.037 eV/atom. As for the total magnetization: 0.000 μB per cell. The value obtained for the total energy is -0.4232 Ry per atom.

The structure in CIF format:
```
data_La6Si2OsBr3
_chemical_formula_sum 'La12 Si4 Os2 Br6'
_cell_length_a 19.458
_cell_length_b 4.300
_cell_length_c 9.179
_cell_angle_alpha 90.00
_cell_angle_beta 106.42
_cell_angle_gamma 90.00
_space_group_name_H-M_alt 'C 1 2/m 1'
_space_group_IT_number 12
_space_group_name_Hall '-C 2y'
loop_
_atom_site_label
_atom_site_fract_x
_atom_site_fract_y
_atom_site_fract_z
_atom_site_occupancy
La1 0.005 0.000 0.218 1
La2 0.148 0.500 0.102 1
La3 0.176 0.500 0.567 1
Si1 0.164 0.000 0.339 1
Os1 0.000 0.500 0.000 1
Br1 0.000 0.500 0.500 1
Br2 0.173 0.000 0.837 1
```

***

Please write out number 3 again, unchanged.
LaOsSe2Br: optimized geometry, GGA-PBE.

Calculated values
The calculation puts the distance to the lowest polymorph of the same formula at 0.000 eV/atom. As for the uncorrected formation energy: -0.361 eV/atom. As for the total magnetization: 0.611 μB per cell. The value obtained for the total energy is -0.3911 Ry per atom.

The structure in CIF format:
```
data_LaOsSe2Br
_chemical_formula_sum 'La1 Os1 Se2 Br1'
_cell_length_a 4.961
_cell_length_b 4.961
_cell_length_c 4.989
_cell_angle_alpha 90.00
_cell_angle_beta 90.00
_cell_angle_gamma 90.00
_space_group_name_H-M_alt 'P 4/m m m'
_space_group_IT_number 123
_space_group_name_Hall '-P 4 2'
loop_
_atom_site_label
_atom_site_fract_x
_atom_site_fract_y
_atom_site_fract_z
_atom_site_occupancy
La1 0.000 0.000 0.000 1
Os1 0.500 0.500 0.500 1
Se1 0.000 0.500 0.500 1
Br1 0.500 0.500 0.000 1
```